# GGA-PBE KPt2Au, relaxed
# E above lowest polymorph = 0.217 eV/atom
# ΔE_f = 0.224 eV/atom
data_KPt2Au
_chemical_formula_sum 'K1 Pt2 Au1'
_space_group_name_H-M_alt 'P m m m'
_space_group_IT_number 47
_space_group_name_Hall '-P 2 2'
_cell_length_a 2.7934
_cell_length_b 4.3407
_cell_length_c 6.8958
_cell_angle_alpha 90.00
_cell_angle_beta 90.00
_cell_angle_gamma 90.00
loop_
_atom_site_label
_atom_site_fract_x
_atom_site_fract_y
_atom_site_fract_z
K1 0.0000 0.0000 0.0000
Pt1 0.5000 0.5000 0.3082
Au1 0.0000 0.0000 0.5000

=====

# GGA-PBE K2Pt3Au, relaxed
# ΔE_f = -0.221 eV/atom
data_K2Pt3Au
_chemical_formula_sum 'K6 Pt9 Au3'
_space_group_name_H-M_alt 'R -3 m'
_space_group_IT_number 166
_space_group_name_Hall '-R 3 2"'
_cell_length_a 5.5397
_cell_length_b 5.5397
_cell_length_c 14.0222
_cell_angle_alpha 90.00
_cell_angle_beta 90.00
_cell_angle_gamma 120.00
loop_
_atom_site_label
_atom_site_fract_x
_atom_site_fract_y
_atom_site_fract_z
K1 0.0000 0.0000 0.1249
Pt1 0.0000 0.5000 0.0000
Au1 0.0000 0.0000 0.5000

=====

# GGA-PBE KPt2Au, relaxed
# E above lowest polymorph = 0.181 eV/atom
# ΔE_f = 0.188 eV/atom
data_KPt2Au
_chemical_formula_sum 'K1 Pt2 Au1'
_space_group_name_H-M_alt 'P 4/m m m'
_space_group_IT_number 123
_space_group_name_Hall '-P 4 2'
_cell_length_a 2.8592
_cell_length_b 2.8592
_cell_length_c 9.4055
_cell_angle_alpha 90.00
_cell_angle_beta 90.00
_cell_angle_gamma 90.00
loop_
_atom_site_label
_atom_site_fract_x
_atom_site_fract_y
_atom_site_fract_z
K1 0.0000 0.0000 0.0000
Pt1 0.5000 0.5000 0.2801
Au1 0.0000 0.0000 0.5000

=====

# GGA-PBE KPt2Au2, relaxed
# E above lowest polymorph = 0.056 eV/atom
# ΔE_f = -0.005 eV/atom
data_KPt2Au2
_chemical_formula_sum 'K2 Pt4 Au4'
_space_group_name_H-M_alt 'P 4/m b m'
_space_group_IT_number 127
_space_group_name_Hall '-P 4 2ab'
_cell_length_a 8.4057
_cell_length_b 8.4057
_cell_length_c 2.8014
_cell_angle_alpha 90.00
_cell_angle_beta 90.00
_cell_angle_gamma 90.00
loop_
_atom_site_label
_atom_site_fract_x
_atom_site_fract_y
_atom_site_fract_z
K1 0.0000 0.0000 0.0000
Pt1 0.1685 0.3315 0.5000
Au1 0.1289 0.6289 0.0000

=====

# GGA-PBE KPt2Au, relaxed
# E above lowest polymorph = 0.132 eV/atom
# ΔE_f = 0.139 eV/atom
data_KPt2Au
_chemical_formula_sum 'K4 Pt8 Au4'
_space_group_name_H-M_alt 'I -4 2 d'
_space_group_IT_number 122
_space_group_name_Hall 'I -4 2bw'
_cell_length_a 4.8983
_cell_length_b 4.8983
_cell_length_c 18.6273
_cell_angle_alpha 90.00
_cell_angle_beta 90.00
_cell_angle_gamma 90.00
loop_
_atom_site_label
_atom_site_fract_x
_atom_site_fract_y
_atom_site_fract_z
K1 0.0000 0.0000 0.0000
Pt1 0.0614 0.2500 0.6250
Au1 0.0000 0.0000 0.5000

=====

# GGA-PBE KPt2Au, relaxed
# E above lowest polymorph = 0.147 eV/atom
# ΔE_f = 0.154 eV/atom
data_KPt2Au
_chemical_formula_sum 'K2 Pt4 Au2'
_space_group_name_H-M_alt 'I m m m'
_space_group_IT_number 71
_space_group_name_Hall '-I 2 2'
_cell_length_a 2.8179
_cell_length_b 5.1388
_cell_length_c 10.7523
_cell_angle_alpha 90.00
_cell_angle_beta 90.00
_cell_angle_gamma 90.00
loop_
_atom_site_label
_atom_site_fract_x
_atom_site_fract_y
_atom_site_fract_z
K1 0.0000 0.0000 0.0000
Pt1 0.0000 0.5000 0.2276
Au1 0.0000 0.0000 0.5000

=====

# GGA-PBE K8PtAu2, relaxed
# ΔE_f = -0.044 eV/atom
data_K8PtAu2
_chemical_formula_sum 'K16 Pt2 Au4'
_space_group_name_H-M_alt 'I m m m'
_space_group_IT_number 71
_space_group_name_Hall '-I 2 2'
_cell_length_a 5.6320
_cell_length_b 8.9170
_cell_length_c 16.5709
_cell_angle_alpha 90.00
_cell_angle_beta 90.00
_cell_angle_gamma 90.00
loop_
_atom_site_label
_atom_site_fract_x
_atom_site_fract_y
_atom_site_fract_z
K1 0.0000 0.0000 0.1487
K2 0.0000 0.2286 0.3502
K3 0.0000 0.2959 0.0000
Pt1 0.0000 0.5000 0.5000
Au1 0.0000 0.5000 0.1922

=====

# GGA-PBE KPt2Au, relaxed
# E above lowest polymorph = 0.380 eV/atom
# ΔE_f = 0.387 eV/atom
data_KPt2Au
_chemical_formula_sum 'K2 Pt4 Au2'
_space_group_name_H-M_alt 'I 4/m m m'
_space_group_IT_number 139
_space_group_name_Hall '-I 4 2'
_cell_length_a 4.1345
_cell_length_b 4.1345
_cell_length_c 9.0229
_cell_angle_alpha 90.00
_cell_angle_beta 90.00
_cell_angle_gamma 90.00
loop_
_atom_site_label
_atom_site_fract_x
_atom_site_fract_y
_atom_site_fract_z
K1 0.0000 0.0000 0.0000
Pt1 0.0000 0.5000 0.2500
Au1 0.0000 0.0000 0.5000

=====

# GGA-PBE KPtAu2, relaxed
# E above lowest polymorph = 0.149 eV/atom
# ΔE_f = 0.080 eV/atom
data_KPtAu2
_chemical_formula_sum 'K2 Pt2 Au4'
_space_group_name_H-M_alt 'I m m 2'
_space_group_IT_number 44
_space_group_name_Hall 'I 2 -2'
_cell_length_a 2.8574
_cell_length_b 5.3271
_cell_length_c 11.0044
_cell_angle_alpha 90.00
_cell_angle_beta 90.00
_cell_angle_gamma 90.00
loop_
_atom_site_label
_atom_site_fract_x
_atom_site_fract_y
_atom_site_fract_z
K1 0.0000 0.0000 0.0000
Pt1 0.0000 0.5000 0.7743
Au1 0.0000 0.0000 0.4899
Au2 0.0000 0.5000 0.2170

=====

# GGA-PBE KPt2Au, relaxed
# E above lowest polymorph = 0.307 eV/atom
# ΔE_f = 0.314 eV/atom
data_KPt2Au
_chemical_formula_sum 'K1 Pt2 Au1'
_space_group_name_H-M_alt 'P 4/m m m'
_space_group_IT_number 123
_space_group_name_Hall '-P 4 2'
_cell_length_a 4.1307
_cell_length_b 4.1307
_cell_length_c 4.4514
_cell_angle_alpha 90.00
_cell_angle_beta 90.00
_cell_angle_gamma 90.00
loop_
_atom_site_label
_atom_site_fract_x
_atom_site_fract_y
_atom_site_fract_z
K1 0.0000 0.0000 0.0000
Pt1 0.0000 0.5000 0.5000
Au1 0.5000 0.5000 0.0000

=====

# GGA-PBE KPtAu2, relaxed
# E above lowest polymorph = 0.016 eV/atom
# ΔE_f = -0.053 eV/atom
data_KPtAu2
_chemical_formula_sum 'K2 Pt2 Au4'
_space_group_name_H-M_alt 'C 1 m 1'
_space_group_IT_number 8
_space_group_name_Hall 'C -2y'
_cell_length_a 11.8281
_cell_length_b 2.8761
_cell_length_c 7.8061
_cell_angle_alpha 90.00
_cell_angle_beta 121.36
_cell_angle_gamma 90.00
loop_
_atom_site_label
_atom_site_fract_x
_atom_site_fract_y
_atom_site_fract_z
K1 0.0000 0.0000 0.0000
Pt1 0.2145 0.5000 0.9300
Au1 0.0519 0.0000 0.5990
Au2 0.3731 0.0000 0.2651

=====

# GGA-PBE KPtAu2, relaxed
# E above lowest polymorph = 0.318 eV/atom
# ΔE_f = 0.249 eV/atom
data_KPtAu2
_chemical_formula_sum 'K4 Pt4 Au8'
_space_group_name_H-M_alt 'F m -3 m'
_space_group_IT_number 225
_space_group_name_Hall '-F 4 2 3'
_cell_length_a 6.9080
_cell_length_b 6.9080
_cell_length_c 6.9080
_cell_angle_alpha 90.00
_cell_angle_beta 90.00
_cell_angle_gamma 90.00
loop_
_atom_site_label
_atom_site_fract_x
_atom_site_fract_y
_atom_site_fract_z
K1 0.0000 0.0000 0.0000
Pt1 0.0000 0.0000 0.5000
Au1 0.2500 0.2500 0.2500

=====

What did we get for size of the total moment? Answer: 0.000 0.000 0.000 0.000 0.000 0.000 0.000 0.000 0.000 0.000 0.000 0.000 μB per atom, in the order shown.